This record from Alexandria describes crystalline AsPbN2F at its relaxed geometry. The functional is PBE-GGA.

As for the energy above the most stable polymorph in this dataset: 890.4 meV per atom. The formation energy without anion corrections is 1119 meV/atom. The value obtained for the volume is 80.8 Å³/cell.

The structure in CIF format:
```
data_AsPbN2F
_space_group_name_H-M_alt 'P 4/m m m'
_space_group_IT_number 123
_space_group_name_Hall '-P 4 2'
_cell_length_a 4.3622
_cell_length_b 4.3622
_cell_length_c 4.2466
_cell_angle_alpha 90.00
_cell_angle_beta 90.00
_cell_angle_gamma 90.00
loop_
_atom_site_label
_atom_site_type_symbol
_atom_site_fract_x
_atom_site_fract_y
_atom_site_fract_z
As1 As 0.0000 0.0000 0.0000
Pb1 Pb 0.5000 0.5000 0.5000
N1 N 0.0000 0.5000 0.5000
F1 F 0.5000 0.5000 0.0000
```